(1)
This record from Alexandria via LeMat-Bulk describes a relaxed structure of CsSb2Te3. The functional is GGA-PBE.

ΔE_f (raw) in eV per atom: -0.2543
Energy above the lowest structure with this stoichiometry in meV per atom: 73
Space group: Cmcm, No. 63

Lattice parameters (Å, degrees): 7.377 8.513 8.513 86.67 90.00 90.00
Sites, in units of the cell vectors:
1 Sb 0.000 0.186 0.186
2 Sb 0.500 0.814 0.814
3 Sb 0.500 0.186 0.186
4 Sb 0.000 0.814 0.814
5 Cs 0.750 0.678 0.322
6 Cs 0.250 0.322 0.678
7 Te 0.250 0.917 0.083
8 Te 0.250 0.839 0.547
9 Te 0.750 0.161 0.453
10 Te 0.750 0.083 0.917
11 Te 0.250 0.453 0.161
12 Te 0.750 0.547 0.839


(2)
This record from Alexandria via LeMat-Bulk describes a relaxed structure of LiGdHo. The functional is GGA-PBE.

Formation energy from the elements in kJ/mol of formula units: 33
Energy above the lowest structure with this stoichiometry in meV per atom: 33
Space group: P3m1, No. 156

Lattice parameters (Å, degrees): 3.474 3.474 8.335 90.00 90.00 120.00
Each line ends with the local moment (μB).
Sites, in units of the cell vectors:
1 Li 0.000 0.000 0.998  0.00
2 Gd 0.667 0.333 0.332  -7.18
3 Ho 0.333 0.667 0.670  0.01


(3)
This record from Alexandria via LeMat-Bulk describes a relaxed structure of YAg. The functional is GGA-PBE.

Formation energy from the elements in kJ/mol of formula units: -34
Space group: Fddd, No. 70

Lattice parameters (Å, degrees): 11.785 9.100 7.799 90.00 90.00 90.00
Sites, in units of the cell vectors:
1 Y 0.750 0.952 0.750
2 Y 0.500 0.202 0.500
3 Y 0.750 0.452 0.250
4 Y 0.500 0.798 0.500
5 Y 0.000 0.702 0.500
6 Y 0.500 0.298 0.000
7 Y 0.250 0.548 0.250
8 Y 0.250 0.048 0.750
9 Y 0.750 0.548 0.750
10 Y 0.000 0.202 0.000
11 Y 0.250 0.952 0.250
12 Y 0.000 0.798 0.000
13 Y 0.250 0.452 0.750
14 Y 0.500 0.702 0.000
15 Y 0.000 0.298 0.500
16 Y 0.750 0.048 0.250
17 Ag 0.000 0.500 0.183
18 Ag 0.500 0.000 0.183
19 Ag 0.750 0.250 0.567
20 Ag 0.000 0.000 0.317
21 Ag 0.000 0.000 0.683
22 Ag 0.500 0.500 0.317
23 Ag 0.250 0.750 0.933
24 Ag 0.000 0.500 0.817
25 Ag 0.500 0.500 0.683
26 Ag 0.750 0.250 0.933
27 Ag 0.750 0.750 0.433
28 Ag 0.750 0.750 0.067
29 Ag 0.500 0.000 0.817
30 Ag 0.250 0.750 0.567
31 Ag 0.250 0.250 0.433
32 Ag 0.250 0.250 0.067


For the records above, the corresponding DOS at the Fermi energy values read 2.0 3.7 31.4 states/eV/cell.
For the records above, the corresponding V values read 44.47 29.04 26.14 A^3/atom.